1.
Here is a relaxed structure of Zr4TcHg from Alexandria via LeMat-Bulk. Energies are from PBE.

Calculated values
Its total energy is -7.0135 eV per atom. The energy of formation comes out at 0.463 eV per atom. The calculation puts the theoretical density at 8.73 Mg/m³. As for the distance to the lowest polymorph of the same formula: 687.2 meV/atom.

Cell lengths 5.630, 5.630, 5.630 Å; angles 60.00, 60.00, 60.00 degrees
Fractional coordinates of all 6 atoms:
Zr 0.377 0.377 0.377
Zr 0.377 0.377 0.869
Zr 0.377 0.869 0.377
Zr 0.869 0.377 0.377
Tc 0.750 0.750 0.750
Hg 0.000 0.000 0.000

---

2.
Here is a relaxed structure of ScAg2Hg2 from Alexandria via LeMat-Bulk. Energies are from PBE.

Calculated values
Its total energy is -2.6874 eV per atom. The energy of formation comes out at -0.160 eV per atom. The calculation puts the theoretical density at 10.96 Mg/m³. As for the distance to the lowest polymorph of the same formula: 0.0 meV/atom.

Cell lengths 5.175, 5.037, 8.113 Å; angles 90.00, 108.55, 90.00 degrees
Fractional coordinates of all 10 atoms:
Sc 0.202 0.250 0.299
Sc 0.798 0.750 0.701
Ag 0.394 0.750 0.903
Ag 0.418 0.250 0.702
Ag 0.582 0.750 0.298
Ag 0.606 0.250 0.097
Hg 0.017 0.250 0.900
Hg 0.203 0.750 0.508
Hg 0.797 0.250 0.492
Hg 0.983 0.750 0.100

---

3.
Here is a relaxed structure of KTi3Tc from Alexandria via LeMat-Bulk. Energies are from PBE.

Calculated values
Its total energy is -4.9624 eV per atom. The energy of formation comes out at 2.067 eV per atom. The calculation puts the theoretical density at 5.41 Mg/m³. As for the distance to the lowest polymorph of the same formula: 1387.4 meV/atom.

Cell lengths 4.416, 4.416, 4.416 Å; angles 90.00, 90.00, 90.00 degrees
Fractional coordinates of all 5 atoms:
K 0.000 0.000 0.000
Ti 0.000 0.000 0.500
Ti 0.000 0.500 0.000
Ti 0.500 0.000 0.000
Tc 0.500 0.500 0.500